Compound: MoPRu2
Source: Alexandria via LeMat-Bulk
Functional: PBE
Structure: relaxed

Calculated values
The value obtained for the size of the total moment is 0.0 μB per formula unit. For the formation energy, the calculation gives -0.061 eV per atom. The total energy comes out at -0.644 Ry per atom.

Cell lengths 8.305, 8.305, 8.305 Å; angles 19.53, 19.53, 19.53 degrees
Fractional coordinates of all 4 atoms:
Mo 0.500 0.500 0.500
P 0.000 0.000 0.000
Ru 0.742 0.742 0.742
Ru 0.258 0.258 0.258

Compound: MoPRu2
Source: Alexandria via LeMat-Bulk
Functional: PBE
Structure: relaxed

Calculated values
The value obtained for the size of the total moment is 0.0 μB per formula unit. For the formation energy, the calculation gives 0.001 eV per atom. The total energy comes out at -0.639 Ry per atom.

Cell lengths 4.693, 4.693, 4.693 Å; angles 132.34, 132.34, 69.69 degrees
Fractional coordinates of all 4 atoms:
Mo 0.500 0.500 0.000
P 0.000 0.000 0.000
Ru 0.750 0.250 0.500
Ru 0.250 0.750 0.500

Compound: MoP3Ru
Source: Alexandria via LeMat-Bulk
Functional: PBE
Structure: relaxed

Calculated values
As for the distance to the lowest polymorph of the same formula: 0 meV per atom. The value obtained for the size of the total moment is 1.5 μB per formula unit. For the formation energy, the calculation gives 1.049 eV per atom. The total energy comes out at -0.457 Ry per atom.

Cell lengths 4.622, 4.622, 4.622 Å; angles 90.00, 90.00, 90.00 degrees
Fractional coordinates of all 5 atoms:
Ru 0.500 0.500 0.500
Mo 0.000 0.000 0.000
P 0.000 0.500 0.000
P 0.000 0.000 0.500
P 0.500 0.000 0.000